Material: PrTi2S4
Method: DFT, PBE
State: optimized geometry

extended XYZ file:
```
14
Lattice="3.758 0.000 0.000 -1.879 5.843 0.000 0.000 0.000 12.326" Properties=species:S:1:pos:R:3 pbc="T T T"
S 1.879 3.086 4.833
S 1.879 3.086 1.330
S 1.879 0.000 6.163
S 1.879 0.000 0.000
S 0.000 2.757 7.493
S 1.879 5.166 9.244
S 0.000 2.757 10.996
S 0.000 0.677 3.081
Pr 1.879 1.474 9.244
Pr 0.000 4.370 3.081
Ti 0.000 1.345 0.723
Ti 1.879 4.498 6.886
Ti 0.000 1.345 5.440
Ti 1.879 4.498 11.603
```

Symmetry ... No. 63
Spin magnetization ... 1.2 μB per formula unit
Energy ... -6.845 eV/atom
Uncorrected formation energy ... -1.548 eV per atom